Record 1
## RbSn2Se2 (PBE-GGA)

Data for a relaxed structure of RbSn2Se2.

Cell lengths 4.568, 4.568, 8.044 Å; angles 73.50, 73.50, 90.00 degrees
Element x y z (fractional)
Rb 0.000 0.000 0.000
Sn 0.750 0.250 0.500
Sn 0.250 0.750 0.500
Se 0.592 0.592 0.817
Se 0.408 0.408 0.183

Values from the calculation:
Polymorph energy (0 for the lowest one) in meV per atom: 4.3
DOS at the Fermi energy in states/eV/f.u.: 2.4
E_form (uncorrected) in eV per formula unit: -1.80
Crystal system: tetragonal

Record 2
## LaBeSe2 (PBE-GGA)

Data for a relaxed structure of LaBeSe2.

Cell lengths 7.275, 7.275, 7.275 Å; angles 30.10, 30.10, 30.10 degrees
Element x y z (fractional)
Se 0.980 0.980 0.980
Se 0.520 0.520 0.520
La 0.750 0.750 0.750
Be 0.250 0.250 0.250

Values from the calculation:
DOS at the Fermi energy in states/eV/f.u.: 1.8
E_form (uncorrected) in eV per formula unit: -3.72
Crystal system: trigonal

Record 3
## In2Co (PBE-GGA)

Data for a relaxed structure of In2Co.

Cell lengths 6.577, 6.577, 3.062 Å; angles 90.00, 90.00, 90.00 degrees
Element x y z (fractional)
Co 0.500 0.500 0.500
Co 0.000 0.000 0.000
In 0.725 0.275 0.000
In 0.225 0.225 0.500
In 0.775 0.775 0.500
In 0.275 0.725 0.000

Values from the calculation:
Energy of formation from the pure elements in meV per atom: 198
DOS at the Fermi energy in states/eV/f.u.: 1.8
Crystal system: tetragonal

Record 4
## Na6MgCd2 (PBE-GGA)

Data for a relaxed structure of Na6MgCd2.

Cell lengths 3.248, 9.550, 9.550 Å; angles 60.01, 90.01, 90.01 degrees
Element x y z (fractional)
Na 0.502 0.336 0.000
Na 0.500 0.664 0.336
Na 0.502 0.000 0.336
Na 0.498 0.664 0.000
Na 0.498 0.000 0.664
Na 0.500 0.336 0.664
Mg 0.000 0.000 0.000
Cd 0.000 0.333 0.333
Cd 0.000 0.667 0.667

Values from the calculation:
Energy of formation from the pure elements in meV per atom: 9
DOS at the Fermi energy in states/eV/f.u.: 3.2
Crystal system: monoclinic

> Among the records above, which one has the highest DOS at the Fermi energy?

Na6MgCd2